(1)
5
Lattice="-1.772 1.772 10.911 1.772 -1.772 10.911 1.772 1.772 -10.911" Properties=species:S:1:pos:R:3 comment="Rb2Si2Se | the Alexandria database | PBEsol | optimized geometry" raw_formation_energy_ev_per_fu=-0.83 pbc="T T T"
Rb 0.000 0.000 2.174
Rb 0.000 0.000 19.648
Si 1.772 0.000 5.455
Si 0.000 1.772 5.455
Se 0.000 0.000 10.911


(2)
56
Lattice="7.633 0.000 0.000 0.000 19.543 0.000 -7.448 0.000 11.814" Properties=species:S:1:pos:R:3 comment="RbSn2Se4 | the Alexandria database | PBEsol | optimized geometry" raw_formation_energy_ev_per_fu=-3.98 pbc="T T T"
Rb -2.175 3.733 4.893
Rb -5.899 6.039 10.800
Rb -1.845 10.617 4.760
Rb -5.569 18.697 10.667
Rb 5.753 0.845 1.146
Rb 2.029 8.926 7.053
Rb 6.083 13.504 1.014
Rb 2.359 15.810 6.921
Sn -4.209 2.929 8.188
Sn -0.485 6.842 2.281
Sn 1.355 10.284 1.293
Sn -2.369 19.030 7.200
Sn -3.091 12.675 8.838
Sn 0.633 16.638 2.931
Sn 1.626 3.289 2.556
Sn -2.098 6.482 8.462
Sn 2.283 13.060 3.351
Sn -1.442 16.254 9.258
Sn -0.448 2.904 8.882
Sn 3.276 6.867 2.976
Sn 2.553 0.513 4.614
Sn -1.171 9.259 10.521
Sn 0.669 12.701 9.533
Sn 4.393 16.613 3.626
Se -2.586 0.044 4.418
Se -6.310 9.727 10.325
Se -5.965 2.642 10.249
Se -2.240 7.129 4.343
Se -0.659 3.981 1.843
Se -4.383 5.790 7.750
Se 1.927 12.780 0.801
Se -1.797 16.534 6.707
Se 0.338 14.451 4.311
Se -3.386 14.863 10.217
Se 2.140 0.871 1.932
Se -1.584 8.901 7.839
Se -1.043 12.842 7.394
Se 2.681 16.471 1.487
Se -0.595 1.345 6.849
Se 3.129 8.426 0.942
Se -2.944 11.116 10.871
Se 0.780 18.198 4.965
Se -2.497 3.071 10.327
Se 1.227 6.700 4.420
Se 1.769 10.642 3.975
Se -1.955 18.672 9.882
Se 3.570 4.680 1.596
Se -0.154 5.091 7.503
Se 1.982 3.009 5.106
Se -1.743 6.762 11.013
Se 4.568 13.752 4.064
Se 0.844 15.562 9.971
Se 2.425 12.413 7.471
Se 6.149 16.900 1.564
Se 6.494 9.816 1.489
Se 2.770 19.498 7.396


(3)
5
Lattice="5.549 0.000 0.000 0.000 5.549 0.000 0.000 0.000 5.549" Properties=species:S:1:pos:R:3 comment="RbSrSe3 | the Alexandria database | PBEsol | optimized geometry" raw_formation_energy_ev_per_fu=0.05 pbc="T T T"
Rb 0.000 0.000 0.000
Sr 2.775 2.775 2.775
Se 0.000 0.000 2.775
Se 0.000 2.775 0.000
Se 2.775 0.000 0.000


(4)
5
Lattice="5.836 0.000 0.000 0.000 5.836 0.000 0.000 0.000 6.991" Properties=species:S:1:pos:R:3 comment="RbSr2ZnSe | the Alexandria database | PBEsol | optimized geometry" raw_formation_energy_ev_per_fu=-1.66 pbc="T T T"
Rb 0.000 0.000 0.000
Sr 0.000 2.918 3.495
Sr 2.918 0.000 3.495
Zn 2.918 2.918 0.000
Se 2.918 2.918 3.495


(5)
5
Lattice="4.874 0.000 0.000 0.000 4.874 0.000 0.000 0.000 4.874" Properties=species:S:1:pos:R:3 comment="RbTa3Se | the Alexandria database | PBEsol | optimized geometry" raw_formation_energy_ev_per_fu=7.31 pbc="T T T"
Rb 0.000 0.000 0.000
Ta 0.000 2.437 2.437
Ta 2.437 0.000 2.437
Ta 2.437 2.437 0.000
Se 2.437 2.437 2.437


(6)
4
Lattice="2.091 1.207 7.867 -2.091 1.207 7.867 0.000 -2.415 7.867" Properties=species:S:1:pos:R:3 comment="RbTbSe2 | the Alexandria database | PBEsol | optimized geometry" raw_formation_energy_ev_per_fu=-6.95 pbc="T T T"
Rb 0.000 0.000 0.000
Tb 0.000 0.000 11.800
Se 0.000 0.000 5.490
Se 0.000 0.000 18.111


(7)
44
Lattice="8.776 -5.016 0.000 8.776 5.016 0.000 -0.277 0.000 12.385" Properties=species:S:1:pos:R:3 comment="Rb2Tc3Se6 | the Alexandria database | PBEsol | optimized geometry" raw_formation_energy_ev_per_fu=-8.34 pbc="T T T"
Rb 8.568 3.782 9.289
Rb 6.549 2.515 12.155
Rb 8.707 2.224 3.096
Rb 10.588 2.515 6.423
Rb 6.687 -2.515 5.962
Rb 8.568 -2.224 9.289
Rb 10.726 -2.515 0.230
Rb 8.707 -3.782 3.096
Tc 3.509 1.750 7.719
Tc 3.590 1.111 5.163
Tc 5.812 1.568 6.481
Tc 3.451 -1.111 11.355
Tc 3.647 -1.750 1.526
Tc 5.951 -1.568 0.288
Tc 11.324 1.568 12.097
Tc 13.628 1.750 10.859
Tc 13.824 1.111 1.030
Tc 11.462 -1.568 5.905
Tc 13.685 -1.111 7.223
Tc 13.766 -1.750 4.667
Se 7.092 3.692 5.978
Se 2.421 0.788 9.891
Se 5.638 2.179 8.890
Se 4.535 0.433 0.789
Se 10.321 3.692 0.214
Se 2.559 -0.788 3.698
Se 5.794 0.960 4.065
Se 4.397 -0.433 6.982
Se 8.015 0.374 7.176
Se 5.656 -0.960 10.257
Se 11.499 2.179 9.688
Se 9.121 0.374 11.402
Se 8.154 -0.374 0.983
Se 5.776 -2.179 2.697
Se 11.619 0.960 2.128
Se 9.259 -0.374 5.210
Se 12.878 0.433 5.404
Se 11.480 -0.960 8.321
Se 14.716 0.788 8.687
Se 6.954 -3.692 12.171
Se 12.740 -0.433 11.596
Se 11.637 -2.179 3.495
Se 14.854 -0.788 2.495
Se 10.183 -3.692 6.407


(8)
4
Lattice="0.000 4.148 4.148 4.148 0.000 4.148 4.148 4.148 0.000" Properties=species:S:1:pos:R:3 comment="Rb2TeSe | the Alexandria database | PBEsol | optimized geometry" raw_formation_energy_ev_per_fu=-2.05 pbc="T T T"
Rb 2.074 2.074 2.074
Rb 6.222 6.222 6.222
Te 0.000 0.000 0.000
Se 4.148 4.148 4.148


(9)
9
Lattice="-2.101 2.763 11.232 2.101 -2.763 11.232 2.101 2.763 -11.232" Properties=species:S:1:pos:R:3 comment="RbTh2Se6 | the Alexandria database | PBEsol | optimized geometry" raw_formation_energy_ev_per_fu=-13.25 pbc="T T T"
Rb 0.000 0.000 0.000
Th 2.101 0.000 7.196
Th 0.000 2.763 4.035
Se 2.101 1.398 -2.424
Se 0.000 0.000 5.113
Se 2.101 1.398 2.424
Se 0.000 1.366 8.808
Se 0.000 0.000 17.350
Se 0.000 1.366 13.656


(10)
14
Lattice="9.254 -1.768 0.000 9.254 1.768 0.000 -2.278 0.000 8.859" Properties=species:S:1:pos:R:3 comment="RbTi5Se8 | the Alexandria database | PBEsol | optimized geometry" raw_formation_energy_ev_per_fu=-17.54 pbc="T T T"
Rb 0.000 0.000 0.000
Ti 1.827 0.000 4.441
Ti 1.914 0.000 7.538
Ti 8.114 0.000 4.430
Ti 14.315 0.000 1.321
Ti 14.402 0.000 4.418
Se -0.161 0.000 5.981
Se 3.957 0.000 2.904
Se 4.021 0.000 8.853
Se 6.072 0.000 5.982
Se 10.157 0.000 2.877
Se 12.208 0.000 0.006
Se 12.272 0.000 5.955
Se 16.389 0.000 2.878


(11)
5
Lattice="6.507 0.000 0.000 0.000 6.507 0.000 0.000 0.000 6.507" Properties=species:S:1:pos:R:3 comment="Rb3TlSe | the Alexandria database | PBEsol | optimized geometry" raw_formation_energy_ev_per_fu=-1.78 pbc="T T T"
Rb 0.000 0.000 3.254
Rb 0.000 3.254 0.000
Rb 3.254 0.000 0.000
Tl 3.254 3.254 3.254
Se 0.000 0.000 0.000


(12)
6
Lattice="6.642 0.000 0.000 0.000 4.575 0.000 -3.156 0.000 7.160" Properties=species:S:1:pos:R:3 comment="RbTlSe | the Alexandria database | PBEsol | optimized geometry" raw_formation_energy_ev_per_fu=-2.12 pbc="T T T"
Rb 0.134 1.144 2.789
Rb 3.351 3.431 4.371
Tl -1.344 1.144 6.643
Tl 4.829 3.431 0.517
Se 0.038 3.431 5.264
Se 3.447 1.144 1.896


(13)
16
Lattice="0.000 6.727 12.189 2.847 0.000 12.189 2.847 6.727 0.000" Properties=species:S:1:pos:R:3 comment="RbVSe2 | the Alexandria database | PBEsol | optimized geometry" raw_formation_energy_ev_per_fu=-3.57 pbc="T T T"
Rb 2.136 5.045 1.260
Rb 3.559 8.408 7.354
Rb 2.136 5.045 17.024
Rb 3.559 8.408 23.118
V 0.712 1.682 3.047
V 2.136 5.045 9.142
V 3.559 8.408 15.236
V 4.983 11.772 21.331
Se 2.135 3.015 4.360
Se 3.560 6.378 10.455
Se 2.136 7.075 4.360
Se 2.136 3.015 13.923
Se 3.559 10.439 10.455
Se 3.559 6.378 20.018
Se 2.135 7.075 13.923
Se 3.560 10.439 20.018


(14)
28
Lattice="10.021 0.000 0.000 0.000 7.168 0.000 0.000 0.000 12.646" Properties=species:S:1:pos:R:3 comment="Rb2WSe4 | the Alexandria database | PBEsol | optimized geometry" raw_formation_energy_ev_per_fu=-5.44 pbc="T T T"
Rb 0.457 1.792 1.981
Rb 1.585 5.376 4.938
Rb 3.426 1.792 11.261
Rb 4.554 5.376 8.304
Rb 5.467 1.792 4.341
Rb 6.595 5.376 1.384
Rb 8.436 1.792 7.707
Rb 9.564 5.376 10.664
W 2.498 1.792 7.258
W 2.512 5.376 0.935
W 7.509 1.792 11.710
W 7.523 5.376 5.387
Se 0.237 5.376 1.460
Se 1.485 3.654 8.182
Se 1.485 7.098 8.182
Se 2.152 1.792 4.963
Se 2.858 5.376 11.286
Se 3.525 0.070 1.859
Se 3.525 3.514 1.859
Se 4.774 1.792 7.783
Se 5.248 5.376 4.863
Se 6.496 3.654 10.787
Se 6.496 7.098 10.787
Se 7.163 1.792 1.359
Se 7.869 5.376 7.682
Se 8.536 0.070 4.464
Se 8.536 3.514 4.464
Se 9.784 1.792 11.186


(15)
8
Lattice="-3.893 3.893 4.861 3.893 -3.893 4.861 3.893 3.893 -4.861" Properties=species:S:1:pos:R:3 comment="RbYSe2 | the Alexandria database | PBEsol | optimized geometry" raw_formation_energy_ev_per_fu=-5.99 pbc="T T T"
Rb 0.000 0.000 0.000
Rb 0.000 3.893 2.430
Y 3.893 0.000 2.430
Y 0.000 0.000 4.861
Se 1.947 2.473 -1.215
Se 5.313 1.947 1.215
Se 1.947 1.420 3.646
Se -1.420 1.947 6.076


(16)
5
Lattice="6.174 0.000 0.000 0.000 6.174 0.000 0.000 0.000 6.174" Properties=species:S:1:pos:R:3 comment="RbZnSe3 | the Alexandria database | PBEsol | optimized geometry" raw_formation_energy_ev_per_fu=5.99 pbc="T T T"
Rb 0.000 0.000 0.000
Zn 3.087 3.087 3.087
Se 0.000 0.000 3.087
Se 0.000 3.087 0.000
Se 3.087 0.000 0.000


(17)
5
Lattice="5.139 0.000 0.000 0.000 5.139 0.000 0.000 0.000 5.139" Properties=species:S:1:pos:R:3 comment="RbZr3Se | the Alexandria database | PBEsol | optimized geometry" raw_formation_energy_ev_per_fu=1.83 pbc="T T T"
Rb 0.000 0.000 0.000
Zr 0.000 2.569 2.569
Zr 2.569 0.000 2.569
Zr 2.569 2.569 0.000
Se 2.569 2.569 2.569


(18)
4
Lattice="0.000 3.841 3.841 3.841 0.000 3.841 3.841 3.841 0.000" Properties=species:S:1:pos:R:3 comment="RbSrSi2 | the Alexandria database | PBEsol | optimized geometry" raw_formation_energy_ev_per_fu=1.49 pbc="T T T"
Rb 0.000 0.000 0.000
Sr 3.841 3.841 3.841
Si 1.920 1.920 1.920
Si 5.761 5.761 5.761


(19)
8
Lattice="-2.499 2.499 9.281 2.499 -2.499 9.281 2.499 2.499 -9.281" Properties=species:S:1:pos:R:3 comment="RbTa2Si | the Alexandria database | PBEsol | optimized geometry" raw_formation_energy_ev_per_fu=5.51 pbc="T T T"
Rb 2.499 1.249 2.320
Rb 0.000 1.249 6.961
Ta 0.000 0.000 0.000
Ta 1.249 1.249 -4.640
Ta 1.249 -1.249 4.640
Ta 0.000 2.499 0.000
Si 2.499 -1.249 6.961
Si 0.000 3.748 2.320


(20)
5
Lattice="4.716 0.000 0.000 0.000 4.716 0.000 0.000 0.000 4.716" Properties=species:S:1:pos:R:3 comment="RbTa3Si | the Alexandria database | PBEsol | optimized geometry" raw_formation_energy_ev_per_fu=16.03 pbc="T T T"
Rb 0.000 0.000 0.000
Ta 0.000 0.000 2.358
Ta 0.000 2.358 0.000
Ta 2.358 0.000 0.000
Si 2.358 2.358 2.358


(21)
5
Lattice="5.375 0.000 0.000 0.000 5.375 0.000 0.000 0.000 5.375" Properties=species:S:1:pos:R:3 comment="RbSi3Te | the Alexandria database | PBEsol | optimized geometry" raw_formation_energy_ev_per_fu=10.82 pbc="T T T"
Rb 0.000 0.000 0.000
Si 0.000 0.000 2.688
Si 0.000 2.688 0.000
Si 2.688 0.000 0.000
Te 2.688 2.688 2.688


| no. | E_tot (eV per atom) |
| --- | --- |
| 1 | -3.644 |
| 2 | -4.132 |
| 3 | -2.874 |
| 4 | -2.360 |
| 5 | -7.044 |
| 6 | -5.170 |
| 7 | -6.117 |
| 8 | -2.869 |
| 9 | -5.955 |
| 10 | -6.499 |
| 11 | -2.266 |
| 12 | -3.210 |
| 13 | -5.481 |
| 14 | -5.242 |
| 15 | -5.385 |
| 16 | -1.633 |
| 17 | -6.063 |
| 18 | -3.217 |
| 19 | -6.590 |
| 20 | -5.678 |
| 21 | -2.194 |